An optimized crystal structure of RbVSnF6. Source: Alexandria via LeMat-Bulk, functional PBE with a Hubbard U.

a b c (Å): 5.0542 5.6162 6.1912
angles (deg): 63.51 85.23 81.82
Space group P1 (No. 1)
Inequivalent atoms, fractional coordinates:
Rb1 0.0000 0.0000 0.0000 [1 per cell]
V1 0.3101 0.3190 0.3853 [1 per cell]
Sn1 0.5811 0.6778 0.6135 [1 per cell]
F1 0.1801 0.9532 0.5429 [1 per cell]
F2 0.1874 0.4347 0.0676 [1 per cell]
F3 0.4704 0.2332 0.6977 [1 per cell]
F4 0.4737 0.6707 0.2822 [1 per cell]
F5 0.6349 0.1079 0.3250 [1 per cell]
F6 0.9892 0.4920 0.4843 [1 per cell]

crystal system = triclinic
E_tot = -5.31 eV/atom